# 1
! AcHoPb2 | Alexandria | PBE-GGA | optimized geometry; values from VASP
&SYSTEM
  ibrav = 0, nat = 4, ntyp = 3
/
ATOMIC_SPECIES
Ac 227.00 Ac.upf
Ho 164.93 Ho.upf
Pb 207.20 Pb.upf
CELL_PARAMETERS angstrom
3.696 0.000 0.000
0.000 5.907 -1.999
0.000 0.055 6.236
ATOMIC_POSITIONS crystal
Ac 0.000 0.038 0.962
Ho 0.500 0.569 0.431
Pb 0.500 0.076 0.468
Pb 0.500 0.532 0.924
! spin magnetization = 0.0 μB/f.u.
! DOS at the Fermi energy = 3.140 states/eV per cell
! space group = No. 38
! energy = -4.34 eV per atom



# 2
! AcHoPb | Alexandria | PBE-GGA | optimized geometry; values from VASP
&SYSTEM
  ibrav = 0, nat = 3, ntyp = 3
/
ATOMIC_SPECIES
Pb 207.20 Pb.upf
Ac 227.00 Ac.upf
Ho 164.93 Ho.upf
CELL_PARAMETERS angstrom
4.198 0.000 0.000
0.000 4.198 0.000
-2.099 -2.099 5.741
ATOMIC_POSITIONS crystal
Pb 0.638 0.638 0.276
Ac 0.955 0.955 0.910
Ho 0.257 0.257 0.513
! spin magnetization = 0.0 μB/f.u.
! DOS at the Fermi energy = 4.721 states/eV per cell
! space group = No. 107
! relative energy among the computed polymorphs = 223.5 meV/atom
! energy = -4.36 eV per atom



# 3
! AcHo5Pb6 | Alexandria | PBE-GGA | optimized geometry; values from VASP
&SYSTEM
  ibrav = 0, nat = 12, ntyp = 3
/
ATOMIC_SPECIES
Ac 227.00 Ac.upf
Ho 164.93 Ho.upf
Pb 207.20 Pb.upf
CELL_PARAMETERS angstrom
-1.333 8.246 2.710
-5.406 2.773 -1.358
-5.703 -1.252 5.875
ATOMIC_POSITIONS crystal
Ac 0.000 0.000 0.000
Ho 0.500 0.153 0.695
Ho 0.000 0.327 0.346
Ho 0.500 0.500 0.000
Ho 0.000 0.673 0.654
Ho 0.500 0.847 0.305
Pb 0.731 0.099 0.350
Pb 0.269 0.551 0.350
Pb 0.241 0.287 0.000
Pb 0.759 0.713 0.000
Pb 0.731 0.449 0.650
Pb 0.269 0.901 0.650
! spin magnetization = 0.0 μB/f.u.
! DOS at the Fermi energy = 7.967 states/eV per cell
! space group = No. 12
! energy = -4.52 eV per atom



# 4
! AcHo4Pb4 | Alexandria | PBE-GGA | optimized geometry; values from VASP
&SYSTEM
  ibrav = 0, nat = 18, ntyp = 3
/
ATOMIC_SPECIES
Ac 227.00 Ac.upf
Ho 164.93 Ho.upf
Pb 207.20 Pb.upf
CELL_PARAMETERS angstrom
-3.988 3.285 -3.401
-6.819 -7.578 0.676
-3.808 4.185 8.507
ATOMIC_POSITIONS crystal
Ac 0.000 0.000 0.000
Ac 0.500 0.500 0.500
Ho 0.407 0.360 0.888
Ho 0.907 0.612 0.860
Ho 0.407 0.640 0.112
Ho 0.093 0.140 0.612
Ho 0.593 0.888 0.640
Ho 0.093 0.860 0.388
Ho 0.907 0.388 0.140
Ho 0.593 0.112 0.360
Pb 0.578 0.807 0.347
Pb 0.578 0.193 0.653
Pb 0.078 0.847 0.693
Pb 0.922 0.307 0.847
Pb 0.922 0.693 0.153
Pb 0.422 0.347 0.193
Pb 0.422 0.653 0.807
Pb 0.078 0.153 0.307
! spin magnetization = 0.0 μB/f.u.
! DOS at the Fermi energy = 19.416 states/eV per cell
! space group = No. 86
! energy = -4.39 eV per atom



# 5
! Ac4HoPb2 | Alexandria | PBE-GGA | optimized geometry; values from VASP
&SYSTEM
  ibrav = 0, nat = 14, ntyp = 3
/
ATOMIC_SPECIES
Ac 227.00 Ac.upf
Ho 164.93 Ho.upf
Pb 207.20 Pb.upf
CELL_PARAMETERS angstrom
7.664 -0.416 1.532
-1.024 10.856 -1.436
-1.836 -6.924 6.997
ATOMIC_POSITIONS crystal
Ac 0.769 0.224 0.258
Ac 0.345 0.498 0.051
Ac 0.896 0.744 0.837
Ac 0.965 0.034 0.720
Ac 0.209 0.009 0.342
Ac 0.489 0.017 0.688
Ac 0.399 0.686 0.814
Ac 0.844 0.540 0.126
Ho 0.157 0.605 0.451
Ho 0.276 0.174 0.117
Pb 0.601 0.345 0.675
Pb 0.696 0.905 0.273
Pb 0.584 0.590 0.436
Pb 0.020 0.380 0.712
! spin magnetization = 0.0 μB/f.u.
! DOS at the Fermi energy = 16.724 states/eV per cell
! space group = No. 1
! energy = -4.24 eV per atom



# 6
! AcHoPb | Alexandria | PBE-GGA | optimized geometry; values from VASP
&SYSTEM
  ibrav = 0, nat = 3, ntyp = 3
/
ATOMIC_SPECIES
Pb 207.20 Pb.upf
Ac 227.00 Ac.upf
Ho 164.93 Ho.upf
CELL_PARAMETERS angstrom
-3.491 -2.356 1.667
0.312 -3.321 -4.040
2.722 -0.937 4.377
ATOMIC_POSITIONS crystal
Pb 0.833 0.667 0.333
Ac 0.333 0.333 0.667
Ho 0.834 0.000 0.000
! spin magnetization = 0.0 μB/f.u.
! DOS at the Fermi energy = 1.132 states/eV per cell
! space group = No. 187
! relative energy among the computed polymorphs = 183.8 meV/atom
! energy = -4.40 eV per atom



# 7
! Ac2HoPb2 | Alexandria | PBE-GGA | optimized geometry; values from VASP
&SYSTEM
  ibrav = 0, nat = 10, ntyp = 3
/
ATOMIC_SPECIES
Ac 227.00 Ac.upf
Ho 164.93 Ho.upf
Pb 207.20 Pb.upf
CELL_PARAMETERS angstrom
4.992 0.000 0.000
0.000 8.456 0.000
0.000 0.000 8.456
ATOMIC_POSITIONS crystal
Ac 0.500 0.171 0.671
Ac 0.500 0.671 0.829
Ac 0.500 0.829 0.329
Ac 0.500 0.329 0.171
Ho 0.000 0.000 0.000
Ho 0.000 0.500 0.500
Pb 0.000 0.365 0.865
Pb 0.000 0.865 0.635
Pb 0.000 0.635 0.135
Pb 0.000 0.135 0.365
! spin magnetization = 0.0 μB/f.u.
! DOS at the Fermi energy = 9.015 states/eV per cell
! space group = No. 127
! relative energy among the computed polymorphs = 0.0 meV/atom
! energy = -4.54 eV per atom



# 8
! Ac2HoPd6Pb3 | Alexandria | PBE-GGA | optimized geometry; values from VASP
&SYSTEM
  ibrav = 0, nat = 12, ntyp = 4
/
ATOMIC_SPECIES
Ac 227.00 Ac.upf
Ho 164.93 Ho.upf
Pd 106.42 Pd.upf
Pb 207.20 Pb.upf
CELL_PARAMETERS angstrom
-1.419 -3.561 1.510
3.475 -0.469 2.163
-7.818 9.296 14.578
ATOMIC_POSITIONS crystal
Ac 0.500 0.500 0.116
Ac 0.500 0.500 0.884
Ho 0.500 0.500 0.500
Pd 0.000 0.500 0.604
Pd 0.500 0.000 0.396
Pd 0.500 0.000 0.604
Pd 0.000 0.000 0.155
Pd 0.000 0.500 0.396
Pd 0.000 0.000 0.845
Pb 0.000 0.000 0.297
Pb 0.000 0.000 0.703
Pb 0.000 0.000 0.000
! spin magnetization = 0.0 μB/f.u.
! DOS at the Fermi energy = 5.802 states/eV per cell
! space group = No. 123
! energy = -5.03 eV per atom



# 9
! AcPmHoPb | Alexandria | PBE-GGA | optimized geometry; values from VASP
&SYSTEM
  ibrav = 0, nat = 4, ntyp = 4
/
ATOMIC_SPECIES
Pb 207.20 Pb.upf
Ac 227.00 Ac.upf
Ho 164.93 Ho.upf
Pm 145.00 Pm.upf
CELL_PARAMETERS angstrom
5.743 0.000 0.000
2.871 4.973 0.000
2.871 1.658 4.689
ATOMIC_POSITIONS crystal
Pb 0.250 0.250 0.250
Ac 0.500 0.500 0.500
Ho 0.750 0.750 0.750
Pm 0.000 0.000 0.000
! spin magnetization = 0.0 μB/f.u.
! DOS at the Fermi energy = 6.878 states/eV per cell
! space group = No. 216
! energy = -4.39 eV per atom



# 10
! AcPrHoPb | Alexandria | PBE-GGA | optimized geometry; values from VASP
&SYSTEM
  ibrav = 0, nat = 4, ntyp = 4
/
ATOMIC_SPECIES
Pb 207.20 Pb.upf
Pr 140.91 Pr.upf
Ac 227.00 Ac.upf
Ho 164.93 Ho.upf
CELL_PARAMETERS angstrom
-2.281 -4.901 -1.768
-2.071 -3.703 3.788
-5.613 -0.829 0.391
ATOMIC_POSITIONS crystal
Pb 0.250 0.250 0.250
Pr 0.000 0.000 0.000
Ac 0.750 0.750 0.750
Ho 0.500 0.500 0.500
! spin magnetization = 0.0 μB/f.u.
! DOS at the Fermi energy = 6.442 states/eV per cell
! space group = No. 216
! energy = -4.38 eV per atom



# 11
! AcHoRhPb | Alexandria | PBE-GGA | optimized geometry; values from VASP
&SYSTEM
  ibrav = 0, nat = 4, ntyp = 4
/
ATOMIC_SPECIES
Pb 207.20 Pb.upf
Ac 227.00 Ac.upf
Rh 102.91 Rh.upf
Ho 164.93 Ho.upf
CELL_PARAMETERS angstrom
5.383 0.000 0.000
2.691 4.662 0.000
2.691 1.554 4.395
ATOMIC_POSITIONS crystal
Pb 0.500 0.500 0.500
Ac 0.250 0.250 0.250
Rh 0.000 0.000 0.000
Ho 0.750 0.750 0.750
! spin magnetization = 0.0 μB/f.u.
! DOS at the Fermi energy = 3.805 states/eV per cell
! space group = No. 216
! energy = -5.31 eV per atom



# 12
! Ac2HoPbS6 | Alexandria | PBE-GGA | optimized geometry; values from VASP
&SYSTEM
  ibrav = 0, nat = 20, ntyp = 4
/
ATOMIC_SPECIES
Ac 227.00 Ac.upf
Ho 164.93 Ho.upf
Pb 207.20 Pb.upf
S 32.06 S.upf
CELL_PARAMETERS angstrom
6.996 0.000 -0.066
0.000 7.628 0.000
-0.034 0.000 10.144
ATOMIC_POSITIONS crystal
Ac 0.036 0.907 0.247
Ac 0.536 0.593 0.747
Ac 0.964 0.093 0.753
Ac 0.464 0.407 0.253
Ho 0.500 0.000 0.000
Ho 0.000 0.500 0.500
Pb 0.500 0.000 0.500
Pb 0.000 0.500 0.000
S 0.326 0.694 0.070
S 0.826 0.806 0.570
S 0.674 0.306 0.930
S 0.174 0.194 0.430
S 0.313 0.682 0.435
S 0.813 0.818 0.935
S 0.687 0.318 0.565
S 0.187 0.182 0.065
S 0.859 0.552 0.254
S 0.359 0.948 0.754
S 0.141 0.448 0.746
S 0.641 0.052 0.246
! spin magnetization = 0.0 μB/f.u.
! DOS at the Fermi energy = 7.535 states/eV per cell
! space group = No. 14
! formation energy (no corrections) = -1.643 eV per atom
! energy = -5.77 eV per atom